a:
The following is a DFT calculation (PBE-GGA) of BSF3 after structural relaxation.

Computed properties:
Calculated volume: 10.71 Å³ per atom

a = 3.7691 Å, b = 3.7691 Å, c = 3.7691 Å
α = 90.00°, β = 90.00°, γ = 90.00°
With the nearest neighbours (Å) after each atom.
Fractional positions:
B  0.0000  0.0000  0.0000  6 F 1.88
S  0.5000  0.5000  0.5000  12 F 2.67
F  0.0000  0.0000  0.5000  2 B 1.88
F  0.0000  0.5000  0.0000  2 B 1.88
F  0.5000  0.0000  0.0000  2 B 1.88



b:
The following is a DFT calculation (PBE-GGA) of BSF3 after structural relaxation.

Computed properties:
Calculated volume: 15.01 Å³ per atom

a = 4.2179 Å, b = 4.2179 Å, c = 4.2179 Å
α = 90.00°, β = 90.00°, γ = 90.00°
With the nearest neighbours (Å) after each atom.
Fractional positions:
B  0.0000  0.0000  0.0000  12 F 2.98
S  0.5000  0.5000  0.5000  6 F 2.11
F  0.0000  0.5000  0.5000  2 S 2.11
F  0.5000  0.0000  0.5000  2 S 2.11
F  0.5000  0.5000  0.0000  2 S 2.11



c:
The following is a DFT calculation (PBE-GGA) of BSF3 after structural relaxation.

Computed properties:
Calculated volume: 24.30 Å³ per atom

a = 18.7644 Å, b = 18.7644 Å, c = 4.1139 Å
α = 90.26°, β = 90.26°, γ = 160.39°
With the nearest neighbours (Å) after each atom.
Fractional positions:
B  0.1375  0.8625  0.7500  2 F 1.32
B  0.2709  0.7291  0.2500  2 F 1.32
B  0.7291  0.2709  0.7500  2 F 1.32
B  0.8625  0.1375  0.2500  2 F 1.32
S  0.3129  0.3992  0.6926  1 F 1.68
S  0.3992  0.3129  0.1926  1 F 1.68
S  0.6008  0.6871  0.8074  1 F 1.68
S  0.6871  0.6008  0.3074  1 F 1.68
F  0.0215  0.7116  0.9331  1 B 1.32
F  0.1569  0.3040  0.9196  1 S 1.68
F  0.1583  0.5817  0.4395  1 B 1.32
F  0.2884  0.9785  0.5669  1 B 1.32
F  0.3040  0.1569  0.4196  1 S 1.68
F  0.4183  0.8417  0.0605  1 B 1.32
F  0.5817  0.1583  0.9395  1 B 1.32
F  0.6960  0.8431  0.5804  1 S 1.68
F  0.7116  0.0215  0.4331  1 B 1.32
F  0.8417  0.4183  0.5605  1 B 1.32
F  0.8431  0.6960  0.0804  1 S 1.68
F  0.9785  0.2884  0.0669  1 B 1.32



Relative stability in kJ/mol of atoms, measured from the most stable structure: a 112.9; b 160.0; c 0.0



a:
The following is a DFT calculation (PBE-GGA) of B3SF after structural relaxation.

Computed properties:
Calculated volume: 13.04 Å³ per atom

a = 4.0250 Å, b = 4.0250 Å, c = 4.0250 Å
α = 90.00°, β = 90.00°, γ = 90.00°
With the nearest neighbours (Å) after each atom.
Fractional positions:
B  0.0000  0.0000  0.5000  2 F 2.01
B  0.0000  0.5000  0.0000  2 F 2.01
B  0.5000  0.0000  0.0000  2 F 2.01
S  0.5000  0.5000  0.5000  12 B 2.85
F  0.0000  0.0000  0.0000  6 B 2.01



b:
The following is a DFT calculation (PBE-GGA) of B3SF after structural relaxation.

Computed properties:
Calculated volume: 11.24 Å³ per atom

a = 3.8310 Å, b = 3.8310 Å, c = 3.8310 Å
α = 90.00°, β = 90.00°, γ = 90.00°
With the nearest neighbours (Å) after each atom.
Fractional positions:
B  0.0000  0.0000  0.5000  2 S 1.92
B  0.0000  0.5000  0.0000  2 S 1.92
B  0.5000  0.0000  0.0000  2 S 1.92
S  0.0000  0.0000  0.0000  6 B 1.92
F  0.5000  0.5000  0.5000  12 B 2.71



Relative stability in kJ/mol of atoms, measured from the most stable structure: a 43.5; b 0.0



a:
The following is a DFT calculation (PBE-GGA) of BSb2F after structural relaxation.

Computed properties:
Calculated volume: 16.37 Å³ per atom

a = 4.5244 Å, b = 4.5244 Å, c = 4.5244 Å
α = 60.00°, β = 60.00°, γ = 60.00°
With the nearest neighbours (Å) after each atom.
Fractional positions:
B  0.0000  0.0000  0.0000  8 Sb 2.77
Sb  0.2500  0.2500  0.2500  4 F 2.77, 4 B 2.77
Sb  0.7500  0.7500  0.7500  4 F 2.77, 4 B 2.77
F  0.5000  0.5000  0.5000  8 Sb 2.77



b:
The following is a DFT calculation (PBE-GGA) of BSb2F after structural relaxation.

Computed properties:
Calculated volume: 21.94 Å³ per atom

a = 6.6630 Å, b = 6.6630 Å, c = 6.6630 Å
α = 128.65°, β = 128.65°, γ = 75.58°
With the nearest neighbours (Å) after each atom.
Fractional positions:
B  0.0000  0.0000  0.0000  4 Sb 2.29
B  0.7500  0.2500  0.5000  4 Sb 2.29
Sb  0.0830  0.6250  0.9580  2 B 2.29
Sb  0.3750  0.3330  0.4580  2 B 2.29
Sb  0.6670  0.1250  0.0420  2 B 2.29
Sb  0.8750  0.9170  0.5420  2 B 2.29
F  0.2500  0.7500  0.5000  4 Sb 2.58
F  0.5000  0.5000  0.0000  4 Sb 2.58



Relative stability in kJ/mol of atoms, measured from the most stable structure: a 13.6; b 0.0



a:
The following is a DFT calculation (PBE-GGA) of BSbF after structural relaxation.

Computed properties:
Calculated volume: 18.00 Å³ per atom

a = 5.5824 Å, b = 5.5824 Å, c = 3.8743 Å
α = 100.57°, β = 100.57°, γ = 66.49°
With the nearest neighbours (Å) after each atom.
Fractional positions:
B  0.2217  0.2217  0.2662  1 F 1.39
B  0.7783  0.7783  0.7338  1 F 1.39
Sb  0.4716  0.2145  0.8353  3 B 2.35-2.38
Sb  0.7855  0.5284  0.1647  3 B 2.35-2.38
F  0.0260  0.7814  0.7325  1 B 1.39
F  0.2186  0.9740  0.2675  1 B 1.39



b:
The following is a DFT calculation (PBE-GGA) of BSbF after structural relaxation.

Computed properties:
Calculated volume: 18.07 Å³ per atom

a = 3.1863 Å, b = 5.7176 Å, c = 5.9688 Å
α = 89.01°, β = 86.66°, γ = 87.33°
With the nearest neighbours (Å) after each atom.
Fractional positions:
B  0.2317  0.0308  0.0599  1 F 1.41
B  0.7683  0.9692  0.9401  1 F 1.41
Sb  0.4997  0.3620  0.8019  2 B 2.51-2.57
Sb  0.5003  0.6380  0.1981  2 B 2.51-2.57
F  0.1955  0.1368  0.2723  1 B 1.41
F  0.8045  0.8632  0.7277  1 B 1.41



c:
The following is a DFT calculation (PBE-GGA) of BSbF after structural relaxation.

Computed properties:
Calculated volume: 17.91 Å³ per atom

a = 4.4818 Å, b = 4.8802 Å, c = 4.9954 Å
α = 84.74°, β = 82.99°, γ = 83.72°
With the nearest neighbours (Å) after each atom.
Fractional positions:
B  0.0695  0.0837  0.1147  1 F 1.38
B  0.9305  0.9163  0.8853  1 F 1.38
Sb  0.2848  0.8004  0.4888  2 B 2.45
Sb  0.7152  0.1996  0.5112  2 B 2.45
F  0.2491  0.2950  0.0336  1 B 1.38
F  0.7509  0.7050  0.9664  1 B 1.38



Relative stability in kJ/mol of atoms, measured from the most stable structure: a 14.2; b 0.0; c 3.8